{
  "formula": "HWN2",
  "functional": "GGA-PBEsol",
  "state": "optimized geometry",
  "lattice_angstrom": [[-2.5091, -0.6725, 1.1000], [-1.0761, -2.5749, -0.4116], [1.1404, -2.7472, 4.5389]],
  "species": ["H", "N", "N", "W"],
  "frac_coords": [[0.5000, 0.5000, 0.5000], [0.8775, 0.8775, 0.3676], [0.1225, 0.1225, 0.6324], [0.0000, 0.0000, 0.0000]],
  "final_energy_ev_per_atom": -6.955,
  "n_ef_per_ev_cell": 2.12,
  "m_tot_mub_per_fu": 0.0
}